BeFe2Os, PBEsol geometry, DFT meta-GGA SCAN; calculated volume = 11.444 Å³/atom; E_form = 0.032 eV/atom
1.0
2.530 0.089 0.000
-1.012 2.321 0.000
0.000 0.000 7.676
Fe Be Os
2 1 1
Cartesian
0.000 0.000 0.091
0.759 1.205 5.857
0.759 1.205 1.841
0.000 0.000 3.724

***

HgC3, PBEsol geometry, DFT meta-GGA SCAN; calculated volume = 10.848 Å³/atom; E_form = 2.475 eV/atom
1.0
-2.205 1.248 0.910
-2.421 -0.665 -0.972
-2.211 -4.590 4.921
C Hg
3 1
Cartesian
-3.419 -2.003 2.430
-5.039 -2.367 2.986
-1.799 -1.640 1.874
0.000 0.000 0.000

***

KZr2Tl, PBEsol geometry, DFT meta-GGA SCAN; calculated volume = 29.620 Å³/atom; E_form = 0.421 eV/atom
1.0
-0.489 1.972 -2.461
0.279 -3.306 -2.704
-8.553 -1.276 0.677
K Zr Tl
1 2 1
Cartesian
-0.105 -0.667 -2.583
-2.873 -0.428 0.227
-5.681 -0.847 0.449
-4.381 -1.305 -2.244

***

BaSrTl2, PBEsol geometry, DFT meta-GGA SCAN; calculated volume = 33.852 Å³/atom; E_form = -0.281 eV/atom
1.0
5.764 0.000 0.000
2.882 4.992 0.000
2.882 1.664 4.706
Sr Tl Ba
1 2 1
Cartesian
2.882 1.664 1.177
8.646 4.992 3.530
0.000 0.000 0.000
5.764 3.328 2.353

***

KSi2Hg, PBEsol geometry, DFT meta-GGA SCAN; calculated volume = 21.251 Å³/atom; formation energy (no corrections) = 0.66 eV per atom
1.0
4.323 0.000 0.000
0.000 4.323 0.000
0.000 0.000 4.550
Si Hg K
2 1 1
Cartesian
0.000 2.161 0.000
2.161 0.000 0.000
2.161 2.161 2.275
0.000 0.000 2.275

***

Co2Ir, PBEsol geometry, DFT meta-GGA SCAN; calculated volume = 11.516 Å³/atom; E_form = 0.062 eV/atom
1.0
-0.992 -3.101 -1.545
1.160 -2.489 4.251
-7.074 1.007 2.519
Ir Co
4 8
Cartesian
-3.241 -2.823 1.441
-3.665 -1.761 3.785
-0.353 -4.396 2.745
-6.553 -0.188 2.481
-2.676 -4.088 3.619
-1.883 -0.821 0.754
-4.230 -0.495 1.607
-1.292 -2.067 2.876
-5.613 -2.517 2.350
-5.023 -3.763 4.472
-6.011 -1.404 4.574
-0.895 -3.180 0.652

***

Zn4CdSe, PBEsol geometry, DFT meta-GGA SCAN; calculated volume = 16.833 Å³/atom; formation energy (no corrections) = 0.20 eV per atom
1.0
5.227 0.000 0.000
2.614 4.527 0.000
2.614 1.509 4.268
Zn Se Cd
4 1 1
Cartesian
5.227 3.018 3.728
3.926 2.267 1.603
5.227 4.521 1.603
6.529 2.267 1.603
0.000 0.000 0.000
7.841 4.527 3.201

***

KTi2HW, PBEsol geometry, DFT meta-GGA SCAN; calculated volume = 17.321 Å³/atom; E = -96.678 eV for the cell shown
1.0
4.379 0.000 0.000
0.000 4.379 0.000
0.000 0.000 4.517
H K W Ti
1 1 1 2
Cartesian
2.189 2.189 2.259
0.000 0.000 0.000
0.000 0.000 2.259
2.189 0.000 0.000
0.000 2.189 0.000

***

BeCrBr2, PBEsol geometry, DFT meta-GGA SCAN; calculated volume = 19.125 Å³/atom; formation energy (no corrections) = -0.15 eV per atom
1.0
-1.006 0.846 -3.158
-2.543 -2.238 0.210
-2.137 5.375 3.966
Br Cr Be
2 1 1
Cartesian
-4.610 2.695 0.331
-1.077 1.288 0.688
-1.272 -1.119 0.105
-0.503 0.423 -1.579

***

FeGeF2, PBEsol geometry, DFT meta-GGA SCAN; calculated volume = 13.096 Å³/atom; formation energy (no corrections) = -1.20 eV per atom
1.0
-0.897 -0.954 -2.480
1.749 -0.073 -2.191
2.442 -7.460 0.402
Ge F Fe
1 2 1
Cartesian
1.647 -4.243 -2.134
1.361 -2.708 -4.208
1.932 -5.779 -0.061
0.000 0.000 0.000

***

Na5Sm4Si4O16F, PBEsol geometry, DFT meta-GGA SCAN; calculated volume = 12.521 Å³/atom; formation energy (no corrections) = -3.20 eV per atom
1.0
5.452 0.000 0.000
2.726 8.301 0.000
2.726 0.000 8.301
Na O Si Sm F
5 16 4 4 1
Cartesian
5.522 4.284 2.537
5.522 4.017 5.764
0.000 0.000 0.000
8.106 5.764 4.284
2.655 2.537 4.017
6.699 7.172 6.372
5.580 5.994 4.193
1.248 1.129 1.929
7.827 8.039 3.630
5.802 4.671 8.039
2.376 0.261 4.671
6.929 6.372 1.129
5.580 2.307 4.107
4.036 1.466 2.036
8.049 4.107 5.994
6.929 1.929 7.172
5.802 3.630 0.261
4.141 2.036 6.834
9.487 6.834 6.264
2.597 4.193 2.307
4.141 6.264 1.466
8.234 2.911 7.102
5.395 7.102 5.390
2.782 5.390 1.199
5.395 1.199 2.911
8.048 5.819 7.747
2.597 2.482 0.554
5.580 0.554 5.819
5.580 7.747 2.482
2.726 0.000 0.000

***

Ga3TcSe, PBEsol geometry, DFT meta-GGA SCAN; calculated volume = 22.360 Å³/atom; formation energy (no corrections) = 1.23 eV per atom
1.0
-2.057 0.522 -4.325
-2.252 -4.221 0.562
-3.729 2.262 2.047
Tc Ga Se
1 3 1
Cartesian
-4.019 -0.719 -0.858
-1.864 1.131 1.023
-1.029 0.261 -2.162
-1.126 -2.111 0.281
0.000 0.000 0.000

***

Cs2ZnBi2S5, PBEsol geometry, DFT meta-GGA SCAN; calculated volume = 28.892 Å³/atom; formation energy (no corrections) = -0.86 eV per atom
1.0
4.077 0.000 0.000
0.000 15.721 0.000
0.000 0.000 18.029
S Cs Bi Zn
20 8 8 4
Cartesian
3.058 14.032 13.389
3.058 10.674 15.325
3.058 2.814 11.719
1.019 9.550 4.375
1.019 1.689 4.640
1.019 12.907 6.310
3.058 13.535 9.516
1.019 5.765 10.128
1.019 10.047 0.501
3.058 5.674 17.528
1.019 2.187 8.514
1.019 13.625 16.916
3.058 2.096 1.114
1.019 11.232 11.776
3.058 9.956 7.901
3.058 6.172 13.655
1.019 3.372 15.268
3.058 12.350 2.762
1.019 5.047 2.704
3.058 4.489 6.253
3.058 15.640 6.810
1.019 0.081 11.220
3.058 7.780 2.205
1.019 7.255 6.866
1.019 7.941 15.824
3.058 0.606 15.881
1.019 15.115 2.148
3.058 8.466 11.163
1.019 12.423 14.448
3.058 11.771 17.740
1.019 4.562 12.596
3.058 11.159 5.433
1.019 11.811 8.725
3.058 3.299 3.582
1.019 3.950 0.289
3.058 3.910 9.304
3.058 4.645 15.439
1.019 11.076 2.590
1.019 3.216 6.424
3.058 12.505 11.605

***

K2CdRe, PBEsol geometry, DFT meta-GGA SCAN; calculated volume = 23.679 Å³/atom; E_form = 1.089 eV/atom
1.0
2.981 0.000 0.000
1.491 2.582 0.000
1.491 0.861 12.305
Re K Cd
1 2 1
Cartesian
2.981 1.721 5.852
4.472 2.582 0.438
4.472 2.582 8.675
1.491 0.861 3.492

***

Li3CrFe3O8, PBEsol geometry, DFT meta-GGA SCAN; calculated volume = 11.885 Å³/atom; formation energy (no corrections) = -1.47 eV per atom
1.0
7.016 -2.122 0.587
-1.093 7.036 -0.891
3.889 -1.335 7.924
Fe Li O Cr
6 6 16 2
Cartesian
7.836 1.861 7.116
5.748 -1.164 2.903
4.063 4.743 4.716
4.414 0.795 3.148
1.976 1.718 0.503
5.397 2.784 4.471
8.103 -2.270 3.968
6.933 2.223 2.097
1.398 2.850 3.516
2.878 1.356 5.523
1.708 5.849 3.651
0.000 0.000 0.000
6.677 4.129 1.248
5.943 0.507 2.241
4.476 2.590 2.604
8.139 0.481 5.971
5.335 0.990 5.016
7.684 -1.459 2.208
5.825 -1.020 7.238
3.241 4.860 2.861
7.030 2.959 3.886
3.134 -0.550 6.371
2.781 0.620 3.734
1.672 3.098 1.648
2.127 5.039 5.411
6.571 -1.280 4.759
3.986 4.599 0.381
3.868 3.072 5.379
3.386 3.471 1.596
6.425 0.108 6.023

***

Na4P3H3O11, PBEsol geometry, DFT meta-GGA SCAN; calculated volume = 11.685 Å³/atom; E = -690.373 eV for the cell shown
1.0
6.869 0.000 0.000
0.000 11.842 0.000
0.000 0.000 12.067
O Na P H
44 16 12 12
Cartesian
6.232 10.424 0.499
2.798 7.339 6.533
0.677 1.028 2.077
0.490 10.081 3.329
0.636 1.418 11.567
6.378 1.761 8.737
2.798 1.418 5.534
4.071 10.424 6.533
2.758 1.028 8.111
2.944 4.160 2.704
0.000 8.882 8.316
2.406 5.877 11.438
2.758 6.949 3.956
4.071 4.503 5.534
5.841 0.044 5.405
4.547 3.401 0.864
2.321 8.441 11.202
3.925 1.761 2.704
0.677 6.949 9.989
0.636 7.339 0.499
3.434 8.882 2.283
1.028 11.798 6.662
0.490 4.160 8.737
4.547 9.322 11.202
4.462 5.966 0.628
4.462 0.044 11.438
0.000 2.961 3.750
5.756 9.322 5.169
3.434 2.961 9.784
5.841 5.966 6.662
3.925 7.683 9.363
4.111 10.814 3.956
2.944 10.081 9.363
1.028 5.877 5.405
6.192 10.814 9.989
4.111 4.893 8.111
2.321 2.520 0.864
5.756 3.401 6.897
6.232 4.503 11.567
1.113 8.441 5.169
6.378 7.683 3.329
1.113 2.520 6.897
6.192 4.893 2.077
2.406 11.798 0.628
1.970 3.718 4.876
2.136 0.077 3.693
4.732 11.766 8.374
1.298 5.998 2.341
5.404 8.124 1.157
4.899 2.203 4.876
1.298 0.077 9.726
1.464 3.718 10.909
1.970 9.639 7.190
4.899 8.124 7.190
2.136 5.998 8.374
5.404 2.203 10.909
5.571 11.766 2.341
4.732 5.844 3.693
1.464 9.639 1.157
5.571 5.844 9.726
3.434 8.882 10.122
3.434 2.961 1.944
0.000 8.882 4.089
2.012 7.076 5.272
5.446 10.687 11.305
2.012 1.155 6.795
1.423 7.076 11.305
5.446 4.766 0.762
1.423 1.155 0.762
4.857 4.766 6.795
4.857 10.687 5.272
0.000 2.961 7.978
3.434 0.000 0.000
0.277 2.235 3.112
3.711 9.607 2.921
0.000 0.000 6.033
6.592 9.607 8.954
3.157 8.157 2.921
0.000 5.921 6.033
3.711 3.686 9.146
3.157 2.235 9.146
6.592 3.686 3.112
3.434 5.921 0.000
0.277 8.157 8.954

***

KCu2Ni, PBEsol geometry, DFT meta-GGA SCAN; calculated volume = 15.879 Å³/atom; E_form = 0.980 eV/atom
1.0
4.479 0.000 0.000
2.239 3.879 0.000
2.239 1.293 3.657
K Cu Ni
1 2 1
Cartesian
0.000 0.000 0.000
6.718 3.879 2.743
2.239 1.293 0.914
4.479 2.586 1.828

***

LuPPd, PBEsol geometry, DFT meta-GGA SCAN; calculated volume = 16.445 Å³/atom; E_form = -1.385 eV/atom
1.0
-0.907 1.586 3.444
-6.194 -2.440 -0.507
2.213 -6.348 3.506
Pd P Lu
4 4 4
Cartesian
-1.185 -4.034 2.649
-1.440 0.447 2.724
-3.447 -7.649 3.718
-3.702 -3.168 3.794
0.159 -5.773 3.804
-3.494 -5.398 2.669
-1.393 -1.804 3.773
-5.047 -1.428 2.639
-2.718 -1.922 1.273
-2.169 -5.279 5.170
0.641 -3.237 4.969
-5.529 -3.965 1.473

***

KCd3As, PBEsol geometry, DFT meta-GGA SCAN; calculated volume = 31.224 Å³/atom; E_form = 0.157 eV/atom
1.0
-2.584 2.853 -3.765
0.960 -3.885 -3.603
-4.625 -2.400 1.356
Cd K As
3 1 1
Cartesian
0.480 -1.942 -1.801
-2.313 -1.200 0.678
-1.292 1.426 -1.883
-3.125 -1.716 -3.006
0.000 0.000 0.000